No. 1
Below is a relaxed structure of Zn2Mo2P, with properties calculated at the PBE level.

Properties
**Uncorrected energy**: -28.42 eV/cell
**V**: 77 Å³/cell
**Calculated formation energy**: 0.240 eV per atom
**Space group**: No. 139

CIF file:
```
data_Zn2Mo2P
_chemical_formula_sum 'Zn2 Mo2 P1'
_cell_length_a 7.506
_cell_length_b 7.506
_cell_length_c 7.506
_cell_angle_alpha 154.72
_cell_angle_beta 154.72
_cell_angle_gamma 36.06
_space_group_name_H-M_alt 'P 1'
_space_group_IT_number 1
loop_
_space_group_symop_operation_xyz
'x,y,z'
loop_
_atom_site_label
_atom_site_type_symbol
_atom_site_fract_x
_atom_site_fract_y
_atom_site_fract_z
_atom_site_occupancy
Zn1 Zn 0.250 0.750 0.500 1
P1 P 0.000 0.000 0.000 1
Mo1 Mo 0.587 0.587 0.000 1
Mo2 Mo 0.413 0.413 0.000 1
Zn2 Zn 0.750 0.250 0.500 1
```

No. 2
Below is a relaxed structure of CaAlIr2, with properties calculated at the PBE level.

Properties
**Uncorrected energy**: -24.82 eV/cell
**V**: 65 Å³/cell
**Calculated formation energy**: -0.339 eV per atom
**Space group**: No. 123

CIF file:
```
data_CaAlIr2
_chemical_formula_sum 'Ca1 Al1 Ir2'
_cell_length_a 4.517
_cell_length_b 4.517
_cell_length_c 3.197
_cell_angle_alpha 90.00
_cell_angle_beta 90.00
_cell_angle_gamma 90.00
_space_group_name_H-M_alt 'P 1'
_space_group_IT_number 1
loop_
_space_group_symop_operation_xyz
'x,y,z'
loop_
_atom_site_label
_atom_site_type_symbol
_atom_site_fract_x
_atom_site_fract_y
_atom_site_fract_z
_atom_site_occupancy
Ir1 Ir 0.500 0.500 0.000 1
Ca1 Ca 0.000 0.500 0.500 1
Ir2 Ir 0.000 0.000 0.000 1
Al1 Al 0.500 0.000 0.500 1
```

No. 3
Below is a relaxed structure of Dy3Ag2Pt3, with properties calculated at the PBE level.

Properties
**Uncorrected energy**: -89.03 eV/cell
**V**: 355 Å³/cell
**Calculated formation energy**: -0.861 eV per atom
**Space group**: No. 193

CIF file:
```
data_Dy3Ag2Pt3
_chemical_formula_sum 'Dy6 Ag4 Pt6'
_cell_length_a 5.673
_cell_length_b 8.495
_cell_length_c 8.495
_cell_angle_alpha 120.00
_cell_angle_beta 90.00
_cell_angle_gamma 90.00
_space_group_name_H-M_alt 'P 1'
_space_group_IT_number 1
loop_
_space_group_symop_operation_xyz
'x,y,z'
loop_
_atom_site_label
_atom_site_type_symbol
_atom_site_fract_x
_atom_site_fract_y
_atom_site_fract_z
_atom_site_occupancy
Dy1 Dy 0.250 0.703 0.000 1
Pt1 Pt 0.750 0.365 0.365 1
Dy2 Dy 0.750 0.000 0.297 1
Ag1 Ag 0.500 0.333 0.667 1
Dy3 Dy 0.250 0.297 0.297 1
Ag2 Ag 0.500 0.667 0.333 1
Pt2 Pt 0.750 0.635 0.000 1
Dy4 Dy 0.750 0.703 0.703 1
Pt3 Pt 0.250 0.635 0.635 1
Pt4 Pt 0.250 0.000 0.365 1
Ag3 Ag 0.000 0.333 0.667 1
Ag4 Ag 0.000 0.667 0.333 1
Dy5 Dy 0.250 0.000 0.703 1
Pt5 Pt 0.250 0.365 0.000 1
Dy6 Dy 0.750 0.297 0.000 1
Pt6 Pt 0.750 0.000 0.635 1
```

Q: uncorrected energy of number 1 (Zn2Mo2P)?
A: -28.42 eV/cell